Computed, not measured: an optimized crystal structure of BeFe2Bi at the GGA-PBE level of DFT.

Cell and atoms, written as POSCAR:
```
BeFe2Bi
1.0
6.2248 0.0000 0.0000
0.0000 6.2248 0.0000
0.0000 0.0000 6.2248
Be Fe Bi
4 8 4
Direct
0.0000 0.0000 0.0000
0.0000 0.0000 0.5000
0.0000 0.5000 0.0000
0.5000 0.0000 0.0000
0.1994 0.1994 0.1994
0.1994 0.1994 0.8006
0.1994 0.8006 0.1994
0.1994 0.8006 0.8006
0.8006 0.1994 0.1994
0.8006 0.1994 0.8006
0.8006 0.8006 0.1994
0.8006 0.8006 0.8006
0.0000 0.5000 0.5000
0.5000 0.0000 0.5000
0.5000 0.5000 0.0000
0.5000 0.5000 0.5000
```

Summary:
The offset from the most stable computed form is 0 meV per atom. For the volume, the calculation gives 241 Å³/cell.



Computed, not measured: an optimized crystal structure of BeFe2Bi at the GGA-PBE level of DFT.

Cell and atoms, written as POSCAR:
```
BeFe2Bi
1.0
0.0000 3.0530 3.0530
3.0530 0.0000 3.0530
3.0530 3.0530 0.0000
Be Fe Bi
1 2 1
Direct
0.0000 0.0000 0.0000
0.5000 0.5000 0.5000
0.7500 0.7500 0.7500
0.2500 0.2500 0.2500
```

Summary:
The offset from the most stable computed form is 193 meV per atom. For the volume, the calculation gives 57 Å³/cell.